A PBEsol-optimized structure of AlAs2Cl, computed with SCAN.

Geometry as POSCAR:
```
AlAs2Cl
1.0
4.9265 0.0000 0.0000
0.0000 4.9265 0.0000
0.0000 0.0000 3.0121
Al As Cl
1 2 1
Cartesian
0.0000 0.0000 0.0000
0.0000 2.4633 1.5060
2.4633 0.0000 1.5060
2.4633 2.4633 0.0000
```

Properties
* ΔE_f (raw): 0.3423 eV per atom
* space group: No. 123
* relative energy among the computed polymorphs: 640 meV/atom
* VASP energy: -13.685 eV/atom